Nb3BiS: relaxed, PBE-GGA.

Calculated values
The space group is Pm-3m. Its formation energy from raw total energies is 96.0 meV/atom. Its crystal system is cubic. The value obtained for the volume is 100.83 Å³/cell. The value obtained for the excess energy over the best structure of this formula in the dataset is 0.0000 eV/atom.

Cell and atoms, written as POSCAR:
```
Nb3BiS
1.0
-3.494 -2.996 -0.691
1.583 -0.855 -4.293
2.636 -3.458 1.661
Nb Bi S
3 1 1
direct
0.000 0.500 0.000 Nb
0.500 0.000 0.000 Nb
0.000 0.000 0.500 Nb
0.500 0.500 0.500 Bi
0.000 0.000 0.000 S
```